## BaPmV2O8 (PBE+U)

Data for BaPmV2O8 after structural relaxation.

Space group = P-3m1, No. 164
Volume = 229.6 Å³ per cell
Mass density = 3.7 g/cm3
Total moment = 1.11 μB/cell
Total DFT energy (no corrections) = -7.436 eV per atom

a b c (Å): 5.8302 5.8302 7.7998
angles (deg): 90.00 90.00 120.00
Fractional positions:
Ba 0.0000 0.0000 0.0000
O 0.6667 0.3333 0.0068
O 0.1687 0.3376 0.7042
O 0.3376 0.1689 0.2958
O 0.1689 0.8313 0.7042
O 0.6624 0.8311 0.7042
O 0.8311 0.1687 0.2958
O 0.8313 0.6624 0.2958
O 0.3333 0.6667 0.9932
Pm 0.0000 0.0000 0.5000
V 0.6667 0.3333 0.2246
V 0.3333 0.6667 0.7754